The following is a PBE-GGA calculation of a relaxed ReRu4 crystal, from Alexandria via LeMat-Bulk.

Cell and atoms, written as extended XYZ:
```
5
Lattice="4.630 0.000 0.000 0.000 4.630 0.000 0.000 0.000 4.630" Properties=species:S:1:pos:R:3 pbc="T T T"
Re 0.000 0.000 0.000
Ru 0.000 0.000 2.315
Ru 0.000 2.315 0.000
Ru 2.315 0.000 0.000
Ru 2.315 2.315 2.315
```

**Volume**: 99.2 Å³ per cell
**DFT formation energy**: 1.952 eV per atom
**Electronic total energy**: -7.9578 eV/atom
**Offset from the most stable computed form**: 9.452 eV per formula unit